SrMg2 PBE relaxed; formation enthalpy at 0 K = 0.020 eV per atom; space-group type = I4_1/amd, No. 141; total magnetization = 0.00 μB/atom; N(E_F) = 0.88 states/eV per atom
1.0
15.580 -0.268 0.000
14.039 6.761 0.000
-14.809 -3.246 3.598
Sr Mg
4 8
direct
0.920 0.920 0.000 Sr
0.080 0.080 0.000 Sr
0.170 0.670 0.500 Sr
0.330 0.830 0.500 Sr
0.752 0.752 0.000 Mg
0.248 0.248 0.000 Mg
0.002 0.502 0.500 Mg
0.498 0.998 0.500 Mg
0.566 0.566 0.000 Mg
0.434 0.434 0.000 Mg
0.816 0.316 0.500 Mg
0.684 0.184 0.500 Mg

Pm2NpCuS5 PBE relaxed; uncorrected formation energy = -35.4 kcal/mol of atoms; space-group type = Cmc2_1, No. 36; total magnetization = 0.43 μB/atom; N(E_F) = 1.06 states/eV per atom
1.0
3.897 0.000 0.000
-1.949 8.473 0.000
0.000 0.000 11.574
Pm Np Cu S
4 2 2 10
direct
0.879 0.758 0.813 Pm
0.108 0.216 0.688 Pm
0.121 0.242 0.313 Pm
0.892 0.784 0.188 Pm
0.802 0.604 0.512 Np
0.198 0.396 0.012 Np
0.558 0.116 0.950 Cu
0.442 0.884 0.450 Cu
0.360 0.720 0.005 S
0.683 0.366 0.849 S
0.497 0.993 0.775 S
0.291 0.582 0.676 S
0.955 0.910 0.556 S
0.640 0.280 0.505 S
0.317 0.634 0.349 S
0.503 0.007 0.275 S
0.709 0.418 0.176 S
0.045 0.090 0.056 S

Ca2NiW PBE relaxed; formation enthalpy at 0 K = 0.838 eV per atom; excess energy over the best structure of this formula in the dataset = 448 meV per atom; space-group type = Pmmm, No. 47; total magnetization = 0.00 μB/atom; N(E_F) = 1.26 states/eV per atom
1.0
2.894 0.000 0.000
0.000 4.698 0.000
0.000 0.000 5.958
Ni Ca W
1 2 1
direct
0.500 0.500 0.250 Ni
0.000 0.000 0.005 Ca
0.000 0.000 0.495 Ca
0.500 0.500 0.750 W

BeCd2Cl PBE relaxed; uncorrected formation energy = 2.1 kcal/mol of atoms; excess energy over the best structure of this formula in the dataset = 277 meV per atom; space-group type = Cmmm, No. 65; total magnetization = 0.00 μB/atom; N(E_F) = 0.09 states/eV per atom
1.0
-1.543 -2.964 -0.656
3.220 0.476 -1.001
2.649 -2.956 7.118
Be Cl Cd
1 1 2
direct
0.500 0.500 0.750 Be
0.500 0.500 0.250 Cl
0.000 0.000 0.974 Cd
0.000 0.000 0.526 Cd